# 1
Material: NiSb3C
Method: DFT, GGA-PBE
State: optimized geometry

## Properties
- Crystal system: cubic
- Electronic total energy: -0.320 Ry/atom
- Energy relative to the lowest polymorph listed for this composition: 0 meV/atom
- D(E_F): 2.319 states/eV/f.u.
- Mass density: 7.112 g/cm³

abc: 4.6692 4.6692 4.6692
angles: 90.00 90.00 90.00
Sites, in units of the cell vectors:
Sb  0.0000  0.5000  0.0000
Sb  0.0000  0.0000  0.5000
Sb  0.5000  0.0000  0.0000
C  0.0000  0.0000  0.0000
Ni  0.5000  0.5000  0.5000

# 2
Material: Ni2SbC
Method: DFT, GGA-PBE
State: optimized geometry

## Properties
- Crystal system: tetragonal
- Electronic total energy: -0.429 Ry/atom
- Energy relative to the lowest polymorph listed for this composition: 0 meV/atom
- D(E_F): 2.117 states/eV/f.u.
- Mass density: 7.114 g/cm³

abc: 4.5777 4.5777 6.4641
angles: 69.26 69.26 90.00
Sites, in units of the cell vectors:
Sb  0.0000  0.0000  0.0000
Sb  0.7500  0.2500  0.5000
C  0.5000  0.5000  0.0000
C  0.2500  0.7500  0.5000
Ni  0.4842  0.1250  0.2500
Ni  0.2658  0.6250  0.2500
Ni  0.3750  0.5158  0.7500
Ni  0.8750  0.7342  0.7500

# 3
Material: NiSb3C
Method: DFT, GGA-PBE
State: optimized geometry

## Properties
- Crystal system: cubic
- Electronic total energy: -0.292 Ry/atom
- Energy relative to the lowest polymorph listed for this composition: 377 meV/atom
- D(E_F): 3.523 states/eV/f.u.
- Mass density: 6.190 g/cm³

abc: 4.8903 4.8903 4.8903
angles: 90.00 90.00 90.00
Sites, in units of the cell vectors:
Sb  0.0000  0.5000  0.0000
Sb  0.0000  0.0000  0.5000
Sb  0.5000  0.0000  0.0000
C  0.5000  0.5000  0.5000
Ni  0.0000  0.0000  0.0000

# 4
Material: Sc2NiSbC
Method: DFT, GGA-PBE
State: optimized geometry

## Properties
- Crystal system: tetragonal
- Electronic total energy: -0.507 Ry/atom
- D(E_F): 4.174 states/eV/f.u.
- Mass density: 5.710 g/cm³

abc: 4.6022 4.6022 3.8775
angles: 90.00 90.00 90.00
Sites, in units of the cell vectors:
Sc  0.0000  0.5000  0.0000
Sc  0.5000  0.0000  0.0000
Sb  0.5000  0.5000  0.5000
C  0.0000  0.0000  0.0000
Ni  0.0000  0.0000  0.5000

# 5
Material: NiSnSbC2
Method: DFT, GGA-PBE
State: optimized geometry

## Properties
- Crystal system: tetragonal
- Electronic total energy: -0.353 Ry/atom
- D(E_F): 3.926 states/eV/f.u.
- Mass density: 6.347 g/cm³

abc: 3.9383 5.4514 3.9383
angles: 90.00 90.00 90.00
Sites, in units of the cell vectors:
Sb  0.5000  0.5000  0.5000
C  0.0000  0.0000  0.5000
C  0.5000  0.0000  0.0000
Sn  0.0000  0.5000  0.0000
Ni  0.0000  0.0000  0.0000

# 6
Material: TlNi2SbC
Method: DFT, GGA-PBE
State: optimized geometry

## Properties
- Crystal system: tetragonal
- Electronic total energy: -0.301 Ry/atom
- D(E_F): 3.851 states/eV/f.u.
- Mass density: 7.599 g/cm³

abc: 4.8138 4.2955 4.8138
angles: 90.00 90.00 90.00
Sites, in units of the cell vectors:
Sb  0.0000  0.0000  0.0000
Tl  0.5000  0.5000  0.5000
C  0.0000  0.5000  0.0000
Ni  0.0000  0.0000  0.5000
Ni  0.5000  0.0000  0.0000

# 7
Material: Y2NiSbC
Method: DFT, GGA-PBE
State: optimized geometry

## Properties
- Crystal system: tetragonal
- Electronic total energy: -0.512 Ry/atom
- D(E_F): 3.741 states/eV/f.u.
- Mass density: 6.279 g/cm³

abc: 5.0785 5.0785 3.7969
angles: 90.00 90.00 90.00
Sites, in units of the cell vectors:
Y  0.0000  0.5000  0.0000
Y  0.5000  0.0000  0.0000
Sb  0.5000  0.5000  0.5000
C  0.0000  0.0000  0.0000
Ni  0.0000  0.0000  0.5000

# 8
Material: ZrNiSb2C
Method: DFT, GGA-PBE
State: optimized geometry

## Properties
- Crystal system: tetragonal
- Electronic total energy: -0.370 Ry/atom
- D(E_F): 3.680 states/eV/f.u.
- Mass density: 6.145 g/cm³

abc: 4.7014 4.9567 4.7014
angles: 90.00 90.00 90.00
Sites, in units of the cell vectors:
Sb  0.0000  0.0000  0.5000
Sb  0.5000  0.0000  0.0000
C  0.5000  0.5000  0.5000
Zr  0.0000  0.5000  0.0000
Ni  0.0000  0.0000  0.0000

The highest D(E_F) belongs to which entry?
Sc2NiSbC

Among the records above, which one has the lowest electronic total energy?
Y2NiSbC

Look up the mass density of the fourth one.
5.710 g/cm³